Entry 1:
# TlAgSe2 (PBE, relaxed)
data_TlAgSe2
_symmetry_space_group_name_H-M 'P m n 21'
_symmetry_Int_Tables_number 31
_cell_length_a 4.4544
_cell_length_b 8.8393
_cell_length_c 6.1801
_cell_angle_alpha 90.00
_cell_angle_beta 90.00
_cell_angle_gamma 90.00
loop_
_symmetry_equiv_pos_as_xyz
'x,y,z'
'-x+1/2,-y,z+1/2'
'-x,y,z'
'x+1/2,-y,z+1/2'
loop_
_atom_site_label
_atom_site_fract_x
_atom_site_fract_y
_atom_site_fract_z
Tl1 0.0000 0.1400 0.0000
Ag1 0.0000 0.6156 0.9661
Se1 0.0000 0.3872 0.2415
Se2 0.0000 0.8661 0.2233
# Total DFT energy (no corrections) = -3.211 eV per atom

---

Entry 2:
# Ba2Hg2P (PBE, relaxed)
data_Ba2Hg2P
_symmetry_space_group_name_H-M 'I 4/m m m'
_symmetry_Int_Tables_number 139
_symmetry_space_group_name_Hall '-I 4 2'
_cell_length_a 4.1405
_cell_length_b 4.1405
_cell_length_c 19.7872
_cell_angle_alpha 90.00
_cell_angle_beta 90.00
_cell_angle_gamma 90.00
loop_
_atom_site_label
_atom_site_fract_x
_atom_site_fract_y
_atom_site_fract_z
Ba1 0.0000 0.0000 0.0852
Hg1 0.0000 0.5000 0.2500
P1 0.0000 0.0000 0.5000
# Formation energy from the elements = -558 meV per atom

---

Entry 3:
# Ac4Tl12Ag (PBE, relaxed)
data_Ac4Tl12Ag
_symmetry_space_group_name_H-M 'I m -3 m'
_symmetry_Int_Tables_number 229
_symmetry_space_group_name_Hall '-I 4 2 3'
_cell_length_a 10.1235
_cell_length_b 10.1235
_cell_length_c 10.1235
_cell_angle_alpha 90.00
_cell_angle_beta 90.00
_cell_angle_gamma 90.00
loop_
_atom_site_label
_atom_site_fract_x
_atom_site_fract_y
_atom_site_fract_z
Ac1 0.2500 0.2500 0.2500
Tl1 0.0000 0.0000 0.2883
Tl2 0.0000 0.2500 0.5000
Ag1 0.0000 0.0000 0.0000
# Formation energy from the elements = -256 meV per atom

---

Entry 4:
# BiN2F2 (PBE, relaxed)
data_BiN2F2
_symmetry_space_group_name_H-M 'P 4/m b m'
_symmetry_Int_Tables_number 127
_symmetry_space_group_name_Hall '-P 4 2ab'
_cell_length_a 6.5505
_cell_length_b 6.5505
_cell_length_c 3.9656
_cell_angle_alpha 90.00
_cell_angle_beta 90.00
_cell_angle_gamma 90.00
loop_
_atom_site_label
_atom_site_fract_x
_atom_site_fract_y
_atom_site_fract_z
Bi1 0.0000 0.0000 0.0000
N1 0.0601 0.4399 0.5000
F1 0.2299 0.7299 0.0000
# Total DFT energy (no corrections) = -5.946 eV per atom